! GdSc2Rh PBE relaxed; values from VASP
&SYSTEM
  ibrav = 0, nat = 4, ntyp = 3
/
ATOMIC_SPECIES
Sc 44.96 Sc.upf
Gd 157.25 Gd.upf
Rh 102.91 Rh.upf
CELL_PARAMETERS angstrom
-1.658 2.761 0.647
-1.763 -1.591 2.270
5.632 2.023 5.794
ATOMIC_POSITIONS angstrom
Sc 4.576 1.644 4.707
Sc 1.057 0.380 1.087
Gd 1.106 1.597 4.355
Rh -1.711 0.585 1.458
! polymorph energy (0 for the lowest one): 0.000 eV/f.u.